## PmHo2Mg (PBE-GGA)

Data for an optimized crystal structure of PmHo2Mg.

Results
Spin magnetization, μB/f.u.: 0.0
E_tot, eV/cell: -15.4

Cell lengths 4.9059, 4.9059, 4.9686 Å; angles 90.00, 90.00, 90.00 degrees
Closest atoms and distances in Å follow each position.
Fractional positions:
Pm 0.0000 0.0000 0.0000  4 Mg 3.47, 8 Ho 3.49
Ho 0.0000 0.5000 0.5000  4 Ho 3.47, 4 Mg 3.49, 4 Pm 3.49
Ho 0.5000 0.0000 0.5000  4 Ho 3.47, 4 Mg 3.49, 4 Pm 3.49
Mg 0.5000 0.5000 0.0000  4 Pm 3.47, 8 Ho 3.49